## A
The following is a PBE with a Hubbard U calculation of a relaxed VSe2NO crystal, from the Alexandria database.

Geometry as POSCAR:
```
VSe2NO
1.0
4.420 0.000 0.000
0.000 4.420 0.000
0.000 0.000 3.861
Se O V N
2 1 1 1
Cartesian
0.000 2.210 0.000 Se
2.210 0.000 0.000 Se
0.000 0.000 0.000 O
2.210 2.210 1.931 V
0.000 0.000 1.931 N
```

## B
The following is a PBE with a Hubbard U calculation of a relaxed VSe2NO crystal, from the Alexandria database.

Geometry as POSCAR:
```
VSe2NO
1.0
-2.001 -3.575 2.535
3.043 0.873 3.632
-2.386 2.352 1.433
N O V Se
1 1 1 2
Cartesian
-1.193 1.176 0.717 N
-0.672 -0.175 3.801 O
0.000 0.000 0.000 V
1.521 0.436 1.816 Se
-1.000 -1.788 1.268 Se
```

Tell me which of them is the most stable. Sure, it is B.

## A
The following is a PBE with a Hubbard U calculation of a relaxed WSe2NO crystal, from the Alexandria database.

Geometry as POSCAR:
```
WSe2NO
1.0
4.287 0.000 0.000
0.000 4.287 0.000
0.000 0.000 3.935
W Se O N
1 2 1 1
Cartesian
2.143 2.143 1.968 W
2.143 0.000 0.000 Se
0.000 2.143 0.000 Se
0.000 0.000 0.000 O
0.000 0.000 1.968 N
```

## B
The following is a PBE with a Hubbard U calculation of a relaxed WSe2NO crystal, from the Alexandria database.

Geometry as POSCAR:
```
WSe2NO
1.0
5.010 0.000 0.000
0.000 5.010 0.000
0.000 0.000 3.844
N W O Se
1 1 1 2
Cartesian
0.000 0.000 1.922 N
0.000 0.000 0.000 W
2.505 2.505 1.922 O
2.505 0.000 0.000 Se
0.000 2.505 0.000 Se
```

Tell me which of them is the most stable. Sure, it is B.